This record from the Open Quantum Materials Database describes a geometry-optimized Ho4Cu3Si structure. The functional is PBE.

a = 5.5450 Å, b = 4.2758 Å, c = 7.1347 Å
α = 90.00°, β = 90.69°, γ = 90.00°
Positions (direct):
Cu (0.8709, 0.5000, 0.0339)
Cu (0.6284, 0.5000, 0.5339)
Cu (0.1252, 0.0000, 0.9640)
Ho (0.3677, 0.5000, 0.1757)
Ho (0.8685, 0.0000, 0.3241)
Ho (0.1370, 0.5000, 0.6831)
Ho (0.6364, 0.0000, 0.8231)
Si (0.3659, 0.0000, 0.4623)

Properties
* volume: 21.143 Å³ per atom
* total magnetization: 0.027 μB/cell
* raw total energy: -4.736 eV/atom